Record 1
## LiCa3Cd2 (PBE)

Data for an optimized crystal structure of LiCa3Cd2.

Cell: 3.846 3.846 11.779 Å, 90.00 90.00 90.00°
Element x y z (fractional)
Li1 0.500 0.500 0.500
Ca1 0.000 0.000 0.324
Ca2 0.000 0.000 0.676
Ca3 0.000 0.000 0.000
Cd1 0.500 0.500 0.833
Cd2 0.500 0.500 0.167

Properties
As for the total magnetic moment: 0.00 μB per formula unit.

Record 2
## Li4CaCd (PBE)

Data for an optimized crystal structure of Li4CaCd.

Cell: 5.675 5.675 5.675 Å, 60.00 60.00 60.00°
Element x y z (fractional)
Li1 0.627 0.627 0.627
Li2 0.627 0.627 0.119
Li3 0.627 0.119 0.627
Li4 0.119 0.627 0.627
Cd1 0.000 0.000 0.000
Ca1 0.250 0.250 0.250

Properties
As for the total magnetic moment: 0.00 μB per formula unit.

Record 3
## LiCaCd (PBE)

Data for an optimized crystal structure of LiCaCd.

Cell: 5.962 5.962 5.962 Å, 143.14 143.11 53.14°
Element x y z (fractional)
Li1 0.308 0.308 0.000
Ca1 0.005 0.005 0.000
Cd1 0.687 0.687 0.000

Properties
As for the total magnetic moment: 0.00 μB per formula unit.

Record 4
## Li4Ca4Cd3 (PBE)

Data for an optimized crystal structure of Li4Ca4Cd3.

Cell: 3.792 3.792 20.285 Å, 94.80 94.80 90.03°
Element x y z (fractional)
Li1 0.267 0.267 0.533
Li2 0.901 0.901 0.801
Li3 0.099 0.099 0.199
Li4 0.733 0.733 0.467
Ca1 0.456 0.456 0.906
Ca2 0.181 0.180 0.360
Ca3 0.819 0.820 0.640
Ca4 0.544 0.544 0.094
Cd1 0.636 0.635 0.263
Cd2 0.364 0.365 0.737
Cd3 0.000 0.000 0.000

Properties
As for the total magnetic moment: 0.00 μB per formula unit.

Record 5
## LiCaCd (PBE)

Data for an optimized crystal structure of LiCaCd.

Cell: 5.972 5.972 5.972 Å, 90.84 118.39 120.66°
Element x y z (fractional)
Cd1 0.000 0.500 0.000
Cd2 0.500 0.500 0.500
Li1 0.500 0.000 0.500
Li2 0.000 0.500 0.500
Ca1 0.750 0.873 0.123
Ca2 0.250 0.127 0.877

Properties
As for the total magnetic moment: 0.00 μB per formula unit.

Record 6
## Li3CaCd9 (PBE)

Data for an optimized crystal structure of Li3CaCd9.

Cell: 5.492 7.655 7.645 Å, 82.15 68.95 67.65°
Element x y z (fractional)
Cd1 0.360 0.657 0.646
Cd2 0.289 0.209 0.221
Cd3 0.994 0.343 0.646
Cd4 0.006 0.657 0.354
Cd5 0.000 0.500 0.000
Cd6 0.711 0.791 0.779
Cd7 0.510 0.209 0.779
Cd8 0.640 0.343 0.354
Cd9 0.490 0.791 0.221
Li1 0.500 0.000 0.500
Li2 0.500 0.500 0.000
Li3 0.000 0.000 0.500
Ca1 0.000 0.000 0.000

Properties
As for the total magnetic moment: 0.00 μB per formula unit.

Record 7
## Li4Ca11Cd9 (PBE)

Data for an optimized crystal structure of Li4Ca11Cd9.

Cell: 3.806 14.150 14.150 Å, 116.50 90.00 90.00°
Element x y z (fractional)
Ca1 0.000 0.727 0.727
Ca2 0.000 0.159 0.841
Ca3 0.000 0.920 0.583
Ca4 0.000 0.841 0.159
Ca5 0.000 0.583 0.920
Ca6 0.000 0.322 0.678
Ca7 0.000 0.080 0.417
Ca8 0.000 0.678 0.322
Ca9 0.000 0.273 0.273
Ca10 0.000 0.417 0.080
Ca11 0.000 0.000 0.000
Cd1 0.500 0.061 0.216
Cd2 0.500 0.784 0.939
Cd3 0.500 0.216 0.061
Cd4 0.500 0.500 0.500
Cd5 0.500 0.627 0.123
Cd6 0.500 0.123 0.627
Cd7 0.500 0.877 0.373
Cd8 0.500 0.939 0.784
Cd9 0.500 0.373 0.877
Li1 0.500 0.526 0.706
Li2 0.500 0.294 0.474
Li3 0.500 0.474 0.294
Li4 0.500 0.706 0.526

Properties
As for the total magnetic moment: 0.00 μB per formula unit.

Record 8
## LiCa8Cd2 (PBE)

Data for an optimized crystal structure of LiCa8Cd2.

Cell: 5.441 7.863 9.902 Å, 107.82 105.95 90.00°
Element x y z (fractional)
Ca1 0.598 0.469 0.196
Ca2 0.971 0.226 0.942
Ca3 0.195 0.298 0.390
Ca4 0.029 0.774 0.058
Ca5 0.402 0.531 0.804
Ca6 0.329 0.042 0.658
Ca7 0.805 0.702 0.610
Ca8 0.671 0.958 0.342
Cd1 0.815 0.302 0.631
Cd2 0.185 0.698 0.369
Li1 0.500 0.000 0.000

Properties
As for the total magnetic moment: 0.00 μB per formula unit.

Listing E_form for the structures above in their given order: -0.246; -0.087; -0.220; -0.187; -0.248; -0.217; -0.231; -0.112 eV/atom.